Density functional theory data (PBE) for crystalline Pr3Mg3Ga2Pd at its relaxed geometry.

abc: 7.5669 7.5669 4.4232
angles: 90.00 90.00 120.00
Positions (direct):
Pr1 0.0000 0.5869 0.0000
Pr2 0.4131 0.4131 0.0000
Pr3 0.5869 0.0000 0.0000
Mg1 0.0000 0.2362 0.5000
Mg2 0.2362 0.0000 0.5000
Mg3 0.7638 0.7638 0.5000
Ga1 0.3333 0.6667 0.5000
Ga2 0.6667 0.3333 0.5000
Pd1 0.0000 0.0000 0.0000

## Properties
Its symmetry is P-62m (189). The final energy comes out at -35.1 eV/cell.

Density functional theory data (PBE) for crystalline Y2HfAg at its relaxed geometry.

abc: 7.3093 7.3093 7.3093
angles: 90.00 90.00 90.00
Positions (direct):
Y1 0.0000 0.0000 0.0000
Y2 0.0000 0.5000 0.5000
Y3 0.2500 0.2500 0.2500
Y4 0.2500 0.7500 0.7500
Y5 0.5000 0.0000 0.5000
Y6 0.5000 0.5000 0.0000
Y7 0.7500 0.2500 0.7500
Y8 0.7500 0.7500 0.2500
Hf1 0.0000 0.0000 0.5000
Hf2 0.0000 0.5000 0.0000
Hf3 0.5000 0.0000 0.0000
Hf4 0.5000 0.5000 0.5000
Ag1 0.2500 0.2500 0.7500
Ag2 0.2500 0.7500 0.2500
Ag3 0.7500 0.2500 0.2500
Ag4 0.7500 0.7500 0.7500

## Properties
The formation energy comes out at 0.26 eV/atom. Its symmetry is F-43m (216). The final energy comes out at -98.7 eV/cell.

Density functional theory data (PBE) for crystalline Pm4Ge2Br3 at its relaxed geometry.

abc: 4.2649 4.2649 17.8178
angles: 90.09 90.09 60.00
Positions (direct):
Pm1 0.0009 0.0009 0.2952
Pm2 0.3335 0.3335 0.1154
Pm3 0.6665 0.6665 0.8846
Pm4 0.9991 0.9991 0.7048
Ge1 0.3328 0.3328 0.7986
Ge2 0.6672 0.6672 0.2014
Br1 0.0000 0.0000 0.0000
Br2 0.3349 0.3349 0.3951
Br3 0.6651 0.6651 0.6049

## Properties
Its symmetry is C2/m (12). The final energy comes out at -45.2 eV/cell.

Density functional theory data (PBE) for crystalline Ta2ZnAs at its relaxed geometry.

abc: 6.5008 6.5008 6.5008
angles: 90.00 90.00 90.00
Positions (direct):
Ta1 0.0000 0.0000 0.0000
Ta2 0.0000 0.5000 0.5000
Ta3 0.2500 0.2500 0.2500
Ta4 0.2500 0.7500 0.7500
Ta5 0.5000 0.0000 0.5000
Ta6 0.5000 0.5000 0.0000
Ta7 0.7500 0.2500 0.7500
Ta8 0.7500 0.7500 0.2500
Zn1 0.2500 0.2500 0.7500
Zn2 0.2500 0.7500 0.2500
Zn3 0.7500 0.2500 0.2500
Zn4 0.7500 0.7500 0.7500
As1 0.0000 0.0000 0.5000
As2 0.0000 0.5000 0.0000
As3 0.5000 0.0000 0.0000
As4 0.5000 0.5000 0.5000

## Properties
Its symmetry is F-43m (216). The final energy comes out at -111.7 eV/cell.

Density functional theory data (PBE) for crystalline Li2HfMgGa2Pt2 at its relaxed geometry.

abc: 4.4474 4.4474 6.3031
angles: 90.00 90.00 90.00
Positions (direct):
Li1 0.0000 0.5000 0.2229
Li2 0.5000 0.0000 0.7771
Hf1 0.5000 0.5000 0.5000
Mg1 0.0000 0.0000 0.0000
Ga1 0.0000 0.0000 0.5000
Ga2 0.5000 0.5000 0.0000
Pt1 0.0000 0.5000 0.7416
Pt2 0.5000 0.0000 0.2584

## Properties
Its symmetry is P-4m2 (115). The final energy comes out at -39.3 eV/cell.

Density functional theory data (PBE) for crystalline Dy2HoErIn2 at its relaxed geometry.

abc: 5.3721 5.3721 6.7099
angles: 90.00 90.00 120.00
Positions (direct):
Dy1 0.0000 0.0000 0.2502
Dy2 0.0000 0.0000 0.7498
Ho1 0.3333 0.6667 0.0000
Er1 0.6667 0.3333 0.5000
In1 0.3333 0.6667 0.5000
In2 0.6667 0.3333 0.0000

## Properties
Its symmetry is P-6m2 (187). The final energy comes out at -25.9 eV/cell.

Density functional theory data (PBE) for crystalline PrAs at its relaxed geometry.

abc: 4.1460 4.1460 3.8375
angles: 90.00 90.00 120.00
Positions (direct):
Pr1 0.0000 0.0000 0.0000
As1 0.3333 0.6667 0.5000

## Properties
Its symmetry is P-6m2 (187). The final energy comes out at -11.9 eV/cell.

Density functional theory data (PBE) for crystalline PmReAs at its relaxed geometry.

abc: 6.7192 6.7192 6.7192
angles: 90.00 90.00 90.00
Positions (direct):
Pm1 0.0000 0.0000 0.0000
Pm2 0.0000 0.5000 0.5000
Pm3 0.5000 0.0000 0.5000
Pm4 0.5000 0.5000 0.0000
Re1 0.2500 0.2500 0.2500
Re2 0.2500 0.7500 0.7500
Re3 0.7500 0.2500 0.7500
Re4 0.7500 0.7500 0.2500
As1 0.2500 0.2500 0.7500
As2 0.2500 0.7500 0.2500
As3 0.7500 0.2500 0.2500
As4 0.7500 0.7500 0.7500

## Properties
The value obtained for the energy above the most stable polymorph in this dataset is 870 meV/atom. Its symmetry is F-43m (216). The final energy comes out at -73.5 eV/cell.

Sequential calculated density output: 5.61 7.90 5.71 12.14 9.94 8.78 6.27 8.89 g/cm³